No. 1
# NdTmZr2

A relaxed NdTmZr2 crystal (GGA-PBE, the Alexandria database).

a = 4.8022 Å, b = 4.7382 Å, c = 4.7382 Å
α = 90.00°, β = 90.00°, γ = 90.00°
Positions (direct):
Tm: 0.5000 0.0000 0.0000
Nd: 0.5000 0.5000 0.5000
Zr: 0.0000 0.0000 0.5000
Zr: 0.0000 0.5000 0.0000

- E above lowest polymorph: 0.000 eV per atom
- ΔH_f (0 K): 0.15 eV per atom
- DOS at the Fermi energy: 4.22 states/eV/f.u.
- V: 26.95 A^3/atom

=====

No. 2
# LaSm3HoTh

A relaxed LaSm3HoTh crystal (GGA-PBE, the Alexandria database).

a = 5.1192 Å, b = 8.1184 Å, c = 10.8577 Å
α = 116.33°, β = 90.00°, γ = 90.00°
Positions (direct):
La: 0.2500 0.1212 0.2927
La: 0.7500 0.8788 0.7073
Sm: 0.7500 0.8640 0.0435
Sm: 0.2500 0.1360 0.9565
Sm: 0.2500 0.6273 0.4544
Sm: 0.7500 0.3727 0.5456
Sm: 0.7500 0.3849 0.2051
Sm: 0.2500 0.6151 0.7949
Ho: 0.2500 0.1294 0.6289
Ho: 0.7500 0.8706 0.3711
Th: 0.2500 0.6211 0.1218
Th: 0.7500 0.3789 0.8782

- ΔH_f (0 K): 0.04 eV per atom
- DOS at the Fermi energy: 9.31 states/eV/f.u.
- V: 33.70 A^3/atom

=====

No. 3
# Ba6Na3Ag

A relaxed Ba6Na3Ag crystal (GGA-PBE, the Alexandria database).

a = 7.4682 Å, b = 10.7495 Å, c = 13.2530 Å
α = 90.00°, β = 89.88°, γ = 90.00°
Positions (direct):
Ba: 0.6070 0.1593 0.9367
Ba: 0.5843 0.1956 0.5639
Ba: 0.6186 0.4621 0.2653
Ba: 0.3814 0.5379 0.7347
Ba: 0.4157 0.8044 0.4361
Ba: 0.3930 0.8407 0.0633
Ba: 0.1070 0.3407 0.4367
Ba: 0.0843 0.3044 0.0639
Ba: 0.1186 0.0379 0.7653
Ba: 0.8814 0.9621 0.2347
Ba: 0.9157 0.6956 0.9361
Ba: 0.8930 0.6593 0.5633
Na: 0.6028 0.8815 0.7377
Na: 0.5000 0.5000 0.0000
Na: 0.3972 0.1185 0.2623
Na: 0.1028 0.6185 0.2377
Na: 0.0000 0.0000 0.5000
Na: 0.8972 0.3815 0.7623
Ag: 0.5000 0.5000 0.5000
Ag: 0.0000 0.0000 0.0000

- E above lowest polymorph: 0.029 eV per atom
- ΔH_f (0 K): 0.01 eV per atom
- DOS at the Fermi energy: 9.92 states/eV/f.u.
- V: 53.20 A^3/atom

=====

No. 4
# NaSnSeCl

A relaxed NaSnSeCl crystal (GGA-PBE, the Alexandria database).

a = 4.1227 Å, b = 4.1235 Å, c = 8.0346 Å
α = 90.00°, β = 104.84°, γ = 120.00°
Positions (direct):
Na: 0.4497 0.1231 0.5870
Sn: 0.1180 0.9567 0.0913
Se: 0.3163 0.5559 0.8882
Cl: 0.9939 0.3951 0.4031

- Calculated total energy: -3.6624 eV per atom
- DOS at the Fermi energy: 0.00 states/eV/f.u.
- V: 28.25 A^3/atom

=====

No. 5
# MoPtCl2

A relaxed MoPtCl2 crystal (GGA-PBE, the Alexandria database).

a = 4.3047 Å, b = 2.9609 Å, c = 5.2675 Å
α = 93.97°, β = 90.00°, γ = 90.00°
Positions (direct):
Mo: 0.5000 0.2500 0.2500
Pt: 0.5000 0.7500 0.7500
Cl: 0.0000 0.0526 0.0103
Cl: 0.0000 0.4474 0.4897

- E above lowest polymorph: 0.678 eV per atom
- DOS at the Fermi energy: 4.15 states/eV/f.u.
- V: 16.74 A^3/atom

=====

No. 6
# BaHBr

A relaxed BaHBr crystal (GGA-PBE, the Alexandria database).

a = 4.7398 Å, b = 4.4260 Å, c = 4.4260 Å
α = 120.00°, β = 90.00°, γ = 90.00°
Positions (direct):
H: 0.1662 0.0000 0.0000
Ba: 0.1669 0.6667 0.3333
Br: 0.6669 0.3333 0.6667

- Calculated total energy: -3.6762 eV per atom
- DOS at the Fermi energy: 0.00 states/eV/f.u.
- V: 26.80 A^3/atom

=====

No. 7
# RbPF5

A relaxed RbPF5 crystal (GGA-PBE, the Alexandria database).

a = 7.3766 Å, b = 7.3766 Å, c = 7.3273 Å
α = 95.53°, β = 132.62°, γ = 103.40°
Each line ends with the local moment (μB).
Positions (direct):
Rb: 0.5573 0.7678 0.1830  0.00
Rb: 0.4152 0.1257 0.6830  0.00
P: 0.9875 0.9470 0.9358  0.30
P: 0.9888 0.4482 0.4358  0.30
F: 0.1795 0.8520 0.1723  0.08
F: 0.7855 0.9105 0.9801  0.08
F: 0.3203 0.4928 0.6723  0.08
F: 0.9071 0.2007 0.3833  0.08
F: 0.9860 0.4791 0.6549  0.00
F: 0.0696 0.6946 0.4801  0.08
F: 0.1826 0.9762 0.8833  0.08
F: 0.6572 0.4029 0.1905  0.09
F: 0.1758 0.1689 0.1549  0.00
F: 0.7876 0.0333 0.6905  0.09

- Calculated total energy: -4.7250 eV per atom
- V: 19.07 A^3/atom

=====

No. 8
# MnCd2Ru

A relaxed MnCd2Ru crystal (GGA-PBE, the Alexandria database).

a = 3.4288 Å, b = 3.4288 Å, c = 5.8935 Å
α = 90.00°, β = 90.00°, γ = 90.00°
Each line ends with the local moment (μB).
Positions (direct):
Cd: 0.0000 0.0000 0.9962  -0.03
Cd: 0.0000 0.0000 0.5038  -0.03
Mn: 0.5000 0.5000 0.2500  3.76
Ru: 0.5000 0.5000 0.7500  0.54

- E above lowest polymorph: 0.188 eV per atom
- ΔH_f (0 K): 0.35 eV per atom
- DOS at the Fermi energy: 2.27 states/eV/f.u.
- V: 17.32 A^3/atom

=====

Q: Which value of V does entry 6 give?
A: 26.80 A^3/atom

=====

Q: The lowest V belongs to which entry?
A: MoPtCl2